(1)
This record from Alexandria via LeMat-Bulk describes a relaxed LaTb5Dy crystal. The functional is PBE.

V = 33.07 Å³/atom
energy of formation from the pure elements = 0.191 eV per atom
DOS(E_F) = 1.22 states/eV per atom
size of the total moment = 0.0000 μB/atom

Cell and atoms, written as POSCAR:
```
LaTb5Dy
1.0
-0.254 6.282 2.646
1.643 1.000 6.545
11.821 6.324 2.818
Tb La Dy
10 2 2
direct
0.694 0.646 0.000 Tb
0.843 0.157 0.250 Tb
0.159 0.398 0.753 Tb
0.306 0.354 0.000 Tb
0.354 0.306 0.500 Tb
0.841 0.602 0.247 Tb
0.646 0.694 0.500 Tb
0.602 0.841 0.747 Tb
0.157 0.843 0.750 Tb
0.398 0.159 0.253 Tb
0.721 0.279 0.750 La
0.279 0.721 0.250 La
0.000 0.000 0.500 Dy
0.000 0.000 0.000 Dy
```


(2)
This record from Alexandria via LeMat-Bulk describes a relaxed SbPb2Au crystal. The functional is PBE.

V = 28.52 Å³/atom
DOS(E_F) = 0.52 states/eV per atom
formation energy (no corrections) = 21 meV per atom
size of the total moment = 0.0000 μB/atom

Cell and atoms, written as POSCAR:
```
SbPb2Au
1.0
-1.516 -2.581 6.625
2.291 -3.619 5.874
1.351 2.897 2.845
Au Sb Pb
1 1 2
direct
0.250 0.250 0.250 Au
0.750 0.750 0.750 Sb
0.566 0.566 0.434 Pb
0.934 0.934 0.066 Pb
```


(3)
This record from Alexandria via LeMat-Bulk describes a relaxed Ce2TmPa crystal. The functional is PBE.

V = 30.41 Å³/atom
energy of formation from the pure elements = 0.719 eV per atom
DOS(E_F) = 2.59 states/eV per atom
size of the total moment = 0.0000 μB/atom

Cell and atoms, written as POSCAR:
```
Ce2TmPa
1.0
3.796 0.000 0.000
1.898 3.288 0.000
1.898 1.096 9.745
Tm Pa Ce
1 1 2
direct
0.000 0.000 0.000 Tm
0.500 0.500 0.500 Pa
0.889 0.889 0.333 Ce
0.111 0.111 0.667 Ce
```


(4)
This record from Alexandria via LeMat-Bulk describes a relaxed Pr3MnPt8 crystal. The functional is PBE.

V = 19.44 Å³/atom
energy of formation from the pure elements = -0.860 eV per atom
DOS(E_F) = 0.56 states/eV per atom
size of the total moment = 0.3814 μB/atom

Cell and atoms, written as POSCAR:
```
Pr3MnPt8
1.0
5.262 0.000 1.561
2.400 4.683 1.561
0.049 0.030 9.485
Pt Mn Pr
8 1 3
direct
0.061 0.560 0.319 Pt
0.810 0.810 0.569 Pt
0.560 0.061 0.319 Pt
0.060 0.563 0.815 Pt
0.061 0.061 0.319 Pt
0.311 0.311 0.067 Pt
0.563 0.563 0.815 Pt
0.563 0.060 0.815 Pt
0.138 0.138 0.586 Mn
0.622 0.622 0.134 Pr
0.009 0.009 0.972 Pr
0.493 0.493 0.521 Pr
```


(5)
This record from Alexandria via LeMat-Bulk describes a relaxed CoRh2 crystal. The functional is PBE.

V = 13.41 Å³/atom
energy of formation from the pure elements = 0.147 eV per atom
DOS(E_F) = 1.67 states/eV per atom
size of the total moment = 0.9200 μB/atom

Cell and atoms, written as POSCAR:
```
CoRh2
1.0
-3.854 5.898 0.390
-0.021 -6.677 -2.280
-1.010 -0.820 2.410
Co Rh
2 4
direct
0.932 0.068 0.750 Co
0.068 0.932 0.250 Co
0.228 0.772 0.750 Rh
0.772 0.228 0.250 Rh
0.592 0.408 0.750 Rh
0.408 0.592 0.250 Rh
```


(6)
This record from Alexandria via LeMat-Bulk describes a relaxed CeThPt6 crystal. The functional is PBE.

V = 18.60 Å³/atom
energy of formation from the pure elements = -1.047 eV per atom
DOS(E_F) = 0.49 states/eV per atom
size of the total moment = 0.0357 μB/atom

Cell and atoms, written as POSCAR:
```
CeThPt6
1.0
4.208 0.000 0.000
0.000 4.208 0.000
0.000 0.000 8.403
Pt Ce Th
6 1 1
direct
0.500 0.500 0.500 Pt
0.500 0.000 0.247 Pt
0.500 0.500 0.000 Pt
0.000 0.500 0.753 Pt
0.500 0.000 0.753 Pt
0.000 0.500 0.247 Pt
0.000 0.000 0.000 Ce
0.000 0.000 0.500 Th
```


(7)
This record from Alexandria via LeMat-Bulk describes a relaxed Cs5K5Hg crystal. The functional is PBE.

V = 87.61 Å³/atom
energy of formation from the pure elements = -0.006 eV per atom
DOS(E_F) = 0.76 states/eV per atom
size of the total moment = 0.0000 μB/atom

Cell and atoms, written as POSCAR:
```
Cs5K5Hg
1.0
7.176 0.000 2.344
2.741 10.636 3.765
-0.053 -1.097 12.314
K Cs Hg
5 5 1
direct
0.464 0.383 0.690 K
0.761 0.737 0.740 K
0.536 0.617 0.310 K
0.000 0.500 0.500 K
0.239 0.263 0.260 K
0.500 0.000 0.000 Cs
0.154 0.032 0.660 Cs
0.164 0.653 0.019 Cs
0.836 0.347 0.981 Cs
0.846 0.968 0.340 Cs
0.000 0.000 0.000 Hg
```


(8)
This record from Alexandria via LeMat-Bulk describes a relaxed K2InGa2 crystal. The functional is PBE.

V = 31.17 Å³/atom
energy of formation from the pure elements = -0.020 eV per atom
DOS(E_F) = 0.56 states/eV per atom
size of the total moment = 0.0000 μB/atom

Cell and atoms, written as POSCAR:
```
K2InGa2
1.0
-3.300 -5.241 -3.923
6.512 -2.179 -2.568
0.530 -3.672 4.459
In K Ga
2 4 4
direct
0.000 0.000 0.000 In
0.500 0.500 0.000 In
0.816 0.316 0.500 K
0.184 0.684 0.500 K
0.684 0.816 0.500 K
0.316 0.184 0.500 K
0.123 0.377 0.000 Ga
0.377 0.877 0.000 Ga
0.877 0.623 0.000 Ga
0.623 0.123 0.000 Ga
```


(9)
This record from Alexandria via LeMat-Bulk describes a relaxed KTcIr2 crystal. The functional is PBE.

V = 21.61 Å³/atom
energy of formation from the pure elements = 0.674 eV per atom
DOS(E_F) = 0.94 states/eV per atom
size of the total moment = 0.1219 μB/atom

Cell and atoms, written as POSCAR:
```
KTcIr2
1.0
-3.471 -4.170 -0.745
-2.163 -3.943 -3.125
3.335 -5.033 1.352
Tc Ir K
1 2 1
direct
0.293 0.293 0.104 Tc
0.004 0.004 0.040 Ir
0.708 0.708 0.830 Ir
0.496 0.496 0.526 K
```


(10)
This record from Alexandria via LeMat-Bulk describes a relaxed Li2YCO crystal. The functional is PBE.

V = 27.54 Å³/atom
DOS(E_F) = 1.21 states/eV per atom
formation energy (no corrections) = 1451 meV per atom
size of the total moment = 0.0000 μB/atom

Cell and atoms, written as POSCAR:
```
Li2YCO
1.0
-3.735 -1.863 4.108
-1.730 -2.440 -2.680
3.739 -4.261 1.467
Li O C Y
2 1 1 1
direct
0.000 0.000 0.500 Li
0.500 0.000 0.000 Li
0.500 0.500 0.500 O
0.000 0.500 0.000 C
0.000 0.000 0.000 Y
```


(11)
This record from Alexandria via LeMat-Bulk describes a relaxed Al3TePd crystal. The functional is PBE.

V = 22.70 Å³/atom
DOS(E_F) = 0.69 states/eV per atom
formation energy (no corrections) = -151 meV per atom
size of the total moment = 0.0000 μB/atom

Cell and atoms, written as POSCAR:
```
Al3TePd
1.0
4.842 0.000 0.000
0.000 4.842 0.000
0.000 0.000 4.842
Al Te Pd
3 1 1
direct
0.000 0.500 0.000 Al
0.000 0.000 0.500 Al
0.500 0.000 0.000 Al
0.500 0.500 0.500 Te
0.000 0.000 0.000 Pd
```


(12)
This record from Alexandria via LeMat-Bulk describes a relaxed La2Pu2Se7 crystal. The functional is PBE.

V = 30.43 Å³/atom
DOS(E_F) = 1.51 states/eV per atom
formation energy (no corrections) = -1465 meV per atom
size of the total moment = 0.7246 μB/atom

Cell and atoms, written as POSCAR:
```
La2Pu2Se7
1.0
-2.372 0.605 4.238
0.527 -4.767 0.975
12.134 2.653 6.412
Pu Se La
2 7 2
direct
0.000 0.500 0.619 Pu
0.500 0.000 0.381 Pu
0.500 0.500 0.266 Se
0.000 0.000 0.253 Se
0.500 0.500 0.000 Se
0.000 0.000 0.747 Se
0.500 0.500 0.734 Se
0.500 0.500 0.500 Se
0.000 0.000 0.500 Se
0.500 0.000 0.857 La
0.000 0.500 0.143 La
```


(13)
This record from Alexandria via LeMat-Bulk describes a relaxed PaCd2Bi crystal. The functional is PBE.

V = 25.86 Å³/atom
energy of formation from the pure elements = -0.050 eV per atom
DOS(E_F) = 1.39 states/eV per atom
size of the total moment = 0.1950 μB/atom

Cell and atoms, written as POSCAR:
```
PaCd2Bi
1.0
-3.005 3.764 -1.596
-1.937 -2.803 -2.963
-3.079 -1.146 3.097
Pa Cd Bi
1 2 1
direct
0.500 0.000 0.000 Pa
0.000 0.000 0.500 Cd
0.000 0.500 0.000 Cd
0.500 0.500 0.500 Bi
```


(14)
This record from Alexandria via LeMat-Bulk describes a relaxed Ac4ErIn3 crystal. The functional is PBE.

V = 34.81 Å³/atom
energy of formation from the pure elements = -0.252 eV per atom
DOS(E_F) = 1.23 states/eV per atom
size of the total moment = 0.0000 μB/atom

Cell and atoms, written as POSCAR:
```
Ac4ErIn3
1.0
-2.387 1.244 -4.623
4.209 -1.915 -2.689
-5.061 -8.464 3.431
In Ac Er
3 4 1
direct
0.000 0.500 0.000 In
0.750 0.249 0.500 In
0.250 0.751 0.500 In
0.870 0.870 0.741 Ac
0.130 0.130 0.259 Ac
0.370 0.371 0.741 Ac
0.630 0.629 0.259 Ac
0.500 0.000 0.000 Er
```


(15)
This record from Alexandria via LeMat-Bulk describes a relaxed NiCl2 crystal. The functional is PBE.

V = 28.10 Å³/atom
DOS(E_F) = 0.91 states/eV per atom
formation energy (no corrections) = -489 meV per atom
size of the total moment = 0.0262 μB/atom

Cell and atoms, written as POSCAR:
```
NiCl2
1.0
1.590 -6.579 0.000
1.590 6.579 0.000
0.000 0.000 8.060
Cl Ni
4 2
direct
0.287 0.713 0.250 Cl
0.713 0.287 0.750 Cl
0.487 0.513 0.750 Cl
0.513 0.487 0.250 Cl
0.100 0.900 0.750 Ni
0.900 0.100 0.250 Ni
```


(16)
This record from Alexandria via LeMat-Bulk describes a relaxed RbThCl5 crystal. The functional is PBE.

V = 42.78 Å³/atom
DOS(E_F) = 0.00 states/eV per atom
formation energy (no corrections) = -2122 meV per atom
size of the total moment = 0.0000 μB/atom

Cell and atoms, written as POSCAR:
```
RbThCl5
1.0
7.547 -0.572 2.433
2.533 7.132 2.433
0.358 0.233 11.008
Rb Cl Th
2 10 2
direct
0.538 0.462 0.750 Rb
0.462 0.538 0.250 Rb
0.267 0.172 0.887 Cl
0.828 0.733 0.613 Cl
0.250 0.681 0.986 Cl
0.733 0.828 0.113 Cl
0.681 0.250 0.486 Cl
0.750 0.319 0.014 Cl
0.060 0.940 0.250 Cl
0.940 0.060 0.750 Cl
0.319 0.750 0.514 Cl
0.172 0.267 0.387 Cl
0.000 0.000 0.500 Th
0.000 0.000 0.000 Th
```


(17)
This record from Alexandria via LeMat-Bulk describes a relaxed IrOsW2 crystal. The functional is PBE.

V = 15.26 Å³/atom
energy of formation from the pure elements = 0.021 eV per atom
DOS(E_F) = 0.52 states/eV per atom
size of the total moment = 0.0000 μB/atom

Cell and atoms, written as POSCAR:
```
IrOsW2
1.0
-2.476 -0.881 4.063
-3.957 -1.961 1.979
1.721 -4.376 1.044
W Ir Os
2 1 1
direct
0.001 0.001 0.000 W
0.499 0.499 0.500 W
0.750 0.750 0.750 Ir
0.250 0.250 0.250 Os
```


(18)
This record from Alexandria via LeMat-Bulk describes a relaxed LiSc2Pd2 crystal. The functional is PBE.

V = 19.12 Å³/atom
energy of formation from the pure elements = -0.581 eV per atom
DOS(E_F) = 0.74 states/eV per atom
size of the total moment = 0.0000 μB/atom

Cell and atoms, written as POSCAR:
```
LiSc2Pd2
1.0
7.849 0.000 0.000
0.000 7.849 0.000
0.000 0.000 3.104
Pd Li Sc
4 2 4
direct
0.647 0.853 0.500 Pd
0.147 0.647 0.500 Pd
0.853 0.353 0.500 Pd
0.353 0.147 0.500 Pd
0.000 0.000 0.000 Li
0.500 0.500 0.000 Li
0.852 0.648 0.000 Sc
0.352 0.852 0.000 Sc
0.148 0.352 0.000 Sc
0.648 0.148 0.000 Sc
```


(19)
This record from Alexandria via LeMat-Bulk describes a relaxed RbGa2Ag crystal. The functional is PBE.

V = 29.40 Å³/atom
energy of formation from the pure elements = -0.058 eV per atom
DOS(E_F) = 0.56 states/eV per atom
size of the total moment = 0.0000 μB/atom

Cell and atoms, written as POSCAR:
```
RbGa2Ag
1.0
-4.246 1.651 -0.364
-3.066 -2.140 -2.628
-4.276 -3.773 4.088
Ga Ag Rb
2 1 1
direct
0.306 0.306 0.081 Ga
0.694 0.694 0.919 Ga
0.000 0.000 0.000 Ag
0.500 0.500 0.500 Rb
```


(20)
This record from Alexandria via LeMat-Bulk describes a relaxed Sr2CaZnPd crystal. The functional is PBE.

V = 35.46 Å³/atom
energy of formation from the pure elements = -0.178 eV per atom
DOS(E_F) = 0.84 states/eV per atom
size of the total moment = 0.0000 μB/atom

Cell and atoms, written as POSCAR:
```
Sr2CaZnPd
1.0
5.908 0.000 0.000
0.000 5.908 0.000
0.000 0.000 5.081
Pd Ca Sr Zn
1 1 2 1
direct
0.000 0.000 0.000 Pd
0.500 0.500 0.500 Ca
0.500 0.000 0.000 Sr
0.000 0.500 0.000 Sr
0.000 0.000 0.500 Zn
```


(21)
This record from Alexandria via LeMat-Bulk describes a relaxed TbInGe2 crystal. The functional is PBE.

V = 21.86 Å³/atom
energy of formation from the pure elements = -0.413 eV per atom
DOS(E_F) = 0.59 states/eV per atom
size of the total moment = 0.0000 μB/atom

Cell and atoms, written as POSCAR:
```
TbInGe2
1.0
4.111 0.000 0.000
0.000 4.612 0.000
0.000 0.000 4.612
Tb Ge In
1 2 1
direct
0.500 0.500 0.500 Tb
0.000 0.000 0.500 Ge
0.000 0.500 0.000 Ge
0.500 0.000 0.000 In
```


(22)
This record from Alexandria via LeMat-Bulk describes a relaxed PmNd2YSe4 crystal. The functional is PBE.

V = 25.95 Å³/atom
DOS(E_F) = 0.61 states/eV per atom
formation energy (no corrections) = -1818 meV per atom
size of the total moment = 0.0000 μB/atom

Cell and atoms, written as POSCAR:
```
PmNd2YSe4
1.0
4.131 0.000 0.000
0.000 7.306 -0.195
0.000 2.524 6.811
Se Y Nd Pm
4 1 2 1
direct
0.500 0.740 0.258 Se
0.500 0.260 0.742 Se
0.000 0.257 0.253 Se
0.000 0.743 0.747 Se
0.000 0.500 0.500 Y
0.000 0.000 0.000 Nd
0.500 0.000 0.500 Nd
0.500 0.500 0.000 Pm
```


(23)
This record from Alexandria via LeMat-Bulk describes a relaxed Sc2CdW crystal. The functional is PBE.

V = 19.81 Å³/atom
energy of formation from the pure elements = 0.197 eV per atom
DOS(E_F) = 0.45 states/eV per atom
size of the total moment = 0.0000 μB/atom

Cell and atoms, written as POSCAR:
```
Sc2CdW
1.0
5.403 -0.003 0.000
2.160 4.952 0.000
-3.781 -2.475 2.961
Sc Cd W
2 1 1
direct
0.000 0.000 0.000 Sc
0.250 0.750 0.500 Sc
0.750 0.250 0.500 Cd
0.500 0.500 0.000 W
```


(24)
This record from Alexandria via LeMat-Bulk describes a relaxed Ca4MgHg2 crystal. The functional is PBE.

V = 30.81 Å³/atom
energy of formation from the pure elements = -0.313 eV per atom
DOS(E_F) = 0.53 states/eV per atom
size of the total moment = 0.0000 μB/atom

Cell and atoms, written as POSCAR:
```
Ca4MgHg2
1.0
5.520 -0.001 0.000
-2.759 4.780 0.000
0.000 0.000 16.347
Hg Ca Mg
4 8 2
direct
0.167 0.833 0.439 Hg
0.833 0.167 0.561 Hg
0.167 0.833 0.061 Hg
0.833 0.167 0.939 Hg
0.500 0.500 0.500 Ca
0.834 0.166 0.750 Ca
0.167 0.833 0.870 Ca
0.166 0.834 0.250 Ca
0.500 0.500 0.000 Ca
0.833 0.167 0.370 Ca
0.167 0.833 0.630 Ca
0.833 0.167 0.130 Ca
0.500 0.500 0.250 Mg
0.500 0.500 0.750 Mg
```


(25)
This record from Alexandria via LeMat-Bulk describes a relaxed LiCd2GaHg2 crystal. The functional is PBE.

V = 22.29 Å³/atom
energy of formation from the pure elements = -0.069 eV per atom
DOS(E_F) = 0.29 states/eV per atom
size of the total moment = 0.0000 μB/atom

Cell and atoms, written as POSCAR:
```
LiCd2GaHg2
1.0
6.227 0.000 0.000
0.000 5.973 0.000
-3.114 -2.986 7.191
Hg Li Cd Ga
4 2 4 2
direct
0.628 0.362 0.723 Hg
0.372 0.638 0.277 Hg
0.905 0.138 0.277 Hg
0.095 0.862 0.723 Hg
0.000 0.250 0.000 Li
0.000 0.750 0.000 Li
0.090 0.341 0.683 Cd
0.593 0.841 0.683 Cd
0.910 0.659 0.317 Cd
0.407 0.159 0.317 Cd
0.500 0.250 0.000 Ga
0.500 0.750 0.000 Ga
```